# 1
Gd2FePb: optimized geometry, PBE.

Structure (extended XYZ):
```
4
Lattice="-0.6206 2.7294 -2.2981 -1.7297 -0.6185 -3.1212 -9.5743 2.5060 2.7082" Properties=species:S:1:pos:R:3 pbc="T T T"
Gd -5.2069 2.6966 -3.9523
Gd -6.7177 1.9203 1.2412
Pb 0.0000 0.0000 0.0000
Fe -5.9623 2.3085 -1.3556
```

Output
The value obtained for the calculated formation energy is 0.169 eV/atom. The raw total energy is -9.91 eV per atom. The value obtained for the size of the total moment is 3.354 μB per atom. Its space group is R-3m. As for the energy above the most stable polymorph in this dataset: 142 kJ/mol of formula units. The calculation puts the density of states at the Fermi level at 1.02 states/eV/atom.

---

# 2
Gd2FePb: optimized geometry, PBE.

Structure (extended XYZ):
```
4
Lattice="3.4946 0.0000 0.0000 0.0000 3.4946 0.0000 0.0000 0.0000 8.0484" Properties=species:S:1:pos:R:3 pbc="T T T"
Gd 0.0000 0.0000 6.3832
Gd 0.0000 0.0000 1.6652
Pb 1.7473 1.7473 4.0242
Fe 1.7473 1.7473 0.0000
```

Output
The value obtained for the calculated formation energy is -0.198 eV/atom. The raw total energy is -10.28 eV per atom. The value obtained for the size of the total moment is 3.260 μB per atom. Its space group is P4/mmm. As for the energy above the most stable polymorph in this dataset: 0 kJ/mol of formula units. The calculation puts the density of states at the Fermi level at 0.74 states/eV/atom.

---

# 3
GdThFePd: optimized geometry, PBE.

Structure (extended XYZ):
```
4
Lattice="-3.8891 -2.9935 -0.8749 -1.3967 -3.3385 3.4287 -4.2555 0.6423 2.5160" Properties=species:S:1:pos:R:3 pbc="T T T"
Gd -7.1559 -4.2673 3.8024
Pd 0.0000 0.0000 0.0000
Fe -4.7706 -2.8449 2.5349
Th -2.3853 -1.4224 1.2675
```

Output
The value obtained for the calculated formation energy is -0.280 eV/atom. The raw total energy is -9.07 eV per atom. The value obtained for the size of the total moment is 1.522 μB per atom. Its space group is F-43m. The calculation puts the density of states at the Fermi level at 1.05 states/eV/atom.

---

# 4
GdYFePd: optimized geometry, PBE.

Structure (extended XYZ):
```
4
Lattice="-2.3971 -1.2193 4.0994 -4.0631 -2.7319 -0.2566 0.0604 -4.6383 1.5875" Properties=species:S:1:pos:R:3 pbc="T T T"
Pd -1.6000 -2.1474 1.3576
Y 0.0000 0.0000 0.0000
Fe -4.7999 -6.4422 4.0727
Gd -3.1999 -4.2948 2.7152
```

Output
The value obtained for the calculated formation energy is -0.288 eV/atom. The raw total energy is -8.84 eV per atom. The value obtained for the size of the total moment is 1.546 μB per atom. Its space group is F-43m. The calculation puts the density of states at the Fermi level at 1.29 states/eV/atom.